# K2TlSeO

An optimized crystal structure of K2TlSeO (GGA-PBE, the Alexandria database).

Properties
Uncorrected formation energy   -0.864 eV per atom

Unit cell a=5.3211 b=5.3211 c=4.6665 alpha=90.00 beta=90.00 gamma=90.00
Space group P4/mmm (No. 123)
Unique sites:
1 K 0.0000 0.5000 0.0000
2 Tl 0.0000 0.0000 0.5000
3 Se 0.5000 0.5000 0.5000
4 O 0.0000 0.0000 0.0000

=====

# Tl4SeCl

An optimized crystal structure of Tl4SeCl (GGA-PBE, the Alexandria database).

Properties
Uncorrected formation energy   -0.417 eV per atom

Unit cell a=8.0556 b=15.9276 c=7.3478 alpha=90.00 beta=118.79 gamma=90.00
Space group C2/c (No. 15)
Unique sites:
1 Tl 0.2216 0.1883 0.2411
2 Tl 0.2271 0.4657 0.1168
3 Se 0.0000 0.1818 0.7500
4 Cl 0.0000 0.3559 0.2500

=====

# MgCr2AgAu

An optimized crystal structure of MgCr2AgAu (GGA-PBE, the Alexandria database).

Properties
DFT formation energy   1.2823 eV/atom

Unit cell a=4.9181 b=4.9181 c=4.7235 alpha=90.00 beta=90.00 gamma=90.00
Space group P4/mmm (No. 123)
Unique sites:
1 Mg 0.0000 0.0000 0.0000
2 Cr 0.0000 0.5000 0.0000
3 Ag 0.0000 0.0000 0.5000
4 Au 0.5000 0.5000 0.5000

=====

# TiSnHg2

An optimized crystal structure of TiSnHg2 (GGA-PBE, the Alexandria database).

Properties
DFT formation energy   0.3881 eV/atom

Unit cell a=3.1811 b=3.1811 c=33.7437 alpha=90.00 beta=90.00 gamma=120.00
Space group R-3m (No. 166, hexagonal axes)
Unique sites:
1 Ti 0.0000 0.0000 0.0000
2 Sn 0.0000 0.0000 0.5000
3 Hg 0.0000 0.0000 0.0824

=====

# CaY2As

An optimized crystal structure of CaY2As (GGA-PBE, the Alexandria database).

Properties
DFT formation energy   -0.6565 eV/atom

Unit cell a=3.9735 b=3.9735 c=28.9657 alpha=90.00 beta=90.00 gamma=120.00
Space group R-3m (No. 166, hexagonal axes)
Unique sites:
1 Ca 0.0000 0.0000 0.0000
2 Y 0.0000 0.0000 0.2236
3 As 0.0000 0.0000 0.5000

=====

# Pr9TlPb2

An optimized crystal structure of Pr9TlPb2 (GGA-PBE, the Alexandria database).

Properties
DFT formation energy   -0.3033 eV/atom

Unit cell a=5.0380 b=5.0380 c=15.0850 alpha=90.00 beta=90.00 gamma=90.00
Space group P4/mmm (No. 123)
Unique sites:
1 Pr 0.0000 0.0000 0.0000
2 Pr 0.0000 0.0000 0.3338
3 Pr 0.0000 0.5000 0.1671
4 Pr 0.0000 0.5000 0.5000
5 Tl 0.5000 0.5000 0.0000
6 Pb 0.5000 0.5000 0.3324

=====

Repeat the sixth record exactly.
# Pr9TlPb2

An optimized crystal structure of Pr9TlPb2 (GGA-PBE, the Alexandria database).

Properties
DFT formation energy   -0.3033 eV/atom

Unit cell a=5.0380 b=5.0380 c=15.0850 alpha=90.00 beta=90.00 gamma=90.00
Space group P4/mmm (No. 123)
Unique sites:
1 Pr 0.0000 0.0000 0.0000
2 Pr 0.0000 0.0000 0.3338
3 Pr 0.0000 0.5000 0.1671
4 Pr 0.0000 0.5000 0.5000
5 Tl 0.5000 0.5000 0.0000
6 Pb 0.5000 0.5000 0.3324